1.
The following is a DFT calculation (PBE-GGA) of a relaxed structure of ZnNi2Cl.

a = 2.9922 Å, b = 2.9922 Å, c = 6.0825 Å
α = 90.00°, β = 90.00°, γ = 90.00°
Site moments in Bohr magnetons follow the coordinates.
Atoms (fractional coordinates):
Cl: 0.5000 0.5000 0.7500  0.01
Ni: 0.0000 0.0000 0.4695  0.09
Ni: 0.0000 0.0000 0.0305  0.09
Zn: 0.5000 0.5000 0.2500  -0.01

## Properties
Space-group type: P4/mmm (123)
E above lowest polymorph (eV per atom): 0.1893

***

2.
The following is a DFT calculation (PBE-GGA) of a relaxed structure of ZnNiCl4.

a = 5.8784 Å, b = 5.8784 Å, c = 5.8784 Å
α = 60.00°, β = 60.00°, γ = 60.00°
Site moments in Bohr magnetons follow the coordinates.
Atoms (fractional coordinates):
Cl: 0.3753 0.3753 0.8741  0.48
Cl: 0.8741 0.3753 0.3753  0.48
Cl: 0.3753 0.8741 0.3753  0.48
Cl: 0.3753 0.3753 0.3753  0.48
Ni: 0.7500 0.7500 0.7500  1.05
Zn: 0.0000 0.0000 0.0000  0.18

## Properties
Space-group type: F-43m (216)
E above lowest polymorph (eV per atom): 1.7145

***

3.
The following is a DFT calculation (PBE-GGA) of a relaxed structure of ZnNi2Cl.

a = 2.8431 Å, b = 3.3392 Å, c = 6.2465 Å
α = 89.87°, β = 90.00°, γ = 90.00°
Atoms (fractional coordinates):
Ni: 0.0000 0.7489 0.4489
Ni: 0.0000 0.7511 0.0511
Cl: 0.5000 0.7500 0.7500
Zn: 0.5000 0.2500 0.2500

## Properties
Space-group type: P2/m (10)
E above lowest polymorph (eV per atom): 0.0218

***

4.
The following is a DFT calculation (PBE-GGA) of a relaxed structure of Zn3NiCl9.

a = 8.5692 Å, b = 9.3431 Å, c = 10.3904 Å
α = 77.60°, β = 65.65°, γ = 62.70°
Site moments in Bohr magnetons follow the coordinates.
Atoms (fractional coordinates):
Cl: 0.7774 0.9371 0.3720  -0.01
Cl: 0.1752 0.6585 0.8069  0.12
Cl: 0.1118 0.5848 0.1395  0.00
Cl: 0.7524 0.7327 0.0603  0.00
Cl: 0.5313 0.8257 0.7217  0.09
Cl: 0.7081 0.4052 0.6326  0.00
Cl: 0.8560 0.0831 0.0117  0.00
Cl: 0.9135 0.4371 0.8720  -0.01
Cl: 0.0492 0.5831 0.5117  0.00
Cl: 0.3595 0.1585 0.3069  0.12
Cl: 0.4729 0.7816 0.4437  0.01
Cl: 0.9212 0.3257 0.2217  0.09
Cl: 0.4545 0.2327 0.5603  0.00
Cl: 0.7860 0.9873 0.7381  -0.01
Cl: 0.4885 0.4873 0.2381  -0.01
Cl: 0.3018 0.2816 0.9437  0.01
Cl: 0.2541 0.9052 0.1326  0.00
Cl: 0.1639 0.0848 0.6395  0.00
Zn: 0.5570 0.2391 0.7362  0.00
Zn: 0.0294 0.9289 0.8152  0.00
Zn: 0.4677 0.7391 0.2362  0.00
Zn: 0.9358 0.0853 0.1980  0.00
Zn: 0.2265 0.4289 0.3152  0.00
Zn: 0.7809 0.5853 0.6980  0.00
Ni: 0.4680 0.0081 0.5020  0.68
Ni: 0.0220 0.5081 0.0020  0.68

## Properties
Space-group type: Cc (9)

***

5.
The following is a DFT calculation (PBE-GGA) of a relaxed structure of ZnNiCl2.

a = 4.7619 Å, b = 4.7619 Å, c = 4.7305 Å
α = 61.70°, β = 61.70°, γ = 92.38°
Atoms (fractional coordinates):
Cl: 0.5000 0.5000 0.0000
Cl: 0.0000 0.0000 0.0000
Ni: 0.5000 0.0000 0.5000
Zn: 0.0000 0.5000 0.5000

## Properties
Space-group type: C2/m (12)
E above lowest polymorph (eV per atom): 0.2950

***

6.
The following is a DFT calculation (PBE-GGA) of a relaxed structure of ZnNi2Cl.

a = 4.1549 Å, b = 4.1549 Å, c = 7.8051 Å
α = 74.56°, β = 74.56°, γ = 90.00°
Atoms (fractional coordinates):
Cl: 0.5000 0.5000 0.0000
Cl: 0.2500 0.7500 0.5000
Zn: 0.7500 0.2500 0.5000
Zn: 0.0000 0.0000 0.0000
Ni: 0.5651 0.1250 0.2500
Ni: 0.3750 0.4349 0.7500
Ni: 0.8750 0.8151 0.7500
Ni: 0.1849 0.6250 0.2500

## Properties
Space-group type: I-42d (122)
E above lowest polymorph (eV per atom): 0.3843

***

7.
The following is a DFT calculation (PBE-GGA) of a relaxed structure of ZnNi2Cl.

a = 4.4340 Å, b = 4.4340 Å, c = 4.4340 Å
α = 126.79°, β = 126.79°, γ = 78.59°
Site moments in Bohr magnetons follow the coordinates.
Atoms (fractional coordinates):
Zn: 0.2500 0.7500 0.5000  -0.01
Cl: 0.7500 0.2500 0.5000  0.02
Ni: 0.0000 0.0000 0.0000  0.24
Ni: 0.5000 0.5000 0.0000  0.24

## Properties
Space-group type: I4/mmm (139)
E above lowest polymorph (eV per atom): 0.4399

***

8.
The following is a DFT calculation (PBE-GGA) of a relaxed structure of ZnNiCl2.

a = 3.7364 Å, b = 3.7364 Å, c = 8.6453 Å
α = 90.00°, β = 90.00°, γ = 129.45°
Atoms (fractional coordinates):
Cl: 0.0000 0.0000 0.9215
Cl: 0.5000 0.5000 0.3424
Ni: 0.0000 0.0000 0.5073
Zn: 0.5000 0.5000 0.7288

## Properties
Space-group type: Cmm2 (35)
E above lowest polymorph (eV per atom): 0.0566

***

9.
The following is a DFT calculation (PBE-GGA) of a relaxed structure of Zr2NiCl.

a = 4.6347 Å, b = 4.6347 Å, c = 4.6347 Å
α = 60.00°, β = 60.00°, γ = 60.00°
Atoms (fractional coordinates):
Zr: 0.7500 0.7500 0.7500
Zr: 0.2500 0.2500 0.2500
Cl: 0.0000 0.0000 0.0000
Ni: 0.5000 0.5000 0.5000

## Properties
Space-group type: Fm-3m (225)
E above lowest polymorph (eV per atom): 0.3207

***

10.
The following is a DFT calculation (PBE-GGA) of a relaxed structure of Zr2NiCl.

a = 7.1458 Å, b = 7.1458 Å, c = 7.1458 Å
α = 153.10°, β = 152.82°, γ = 38.62°
Atoms (fractional coordinates):
Zr: 0.7124 0.2124 0.5000
Zr: 0.9446 0.9446 0.0000
Cl: 0.5471 0.5471 0.0000
Ni: 0.2959 0.7959 0.5000

## Properties
Space-group type: Imm2 (44)
E above lowest polymorph (eV per atom): 0.1170

***

11.
The following is a DFT calculation (PBE-GGA) of a relaxed structure of ZrNi4Cl.

a = 4.8807 Å, b = 4.8807 Å, c = 4.8807 Å
α = 60.00°, β = 60.00°, γ = 60.00°
Atoms (fractional coordinates):
Ni: 0.6243 0.1270 0.6243
Ni: 0.1270 0.6243 0.6243
Ni: 0.6243 0.6243 0.1270
Ni: 0.6243 0.6243 0.6243
Cl: 0.0000 0.0000 0.0000
Zr: 0.2500 0.2500 0.2500

## Properties
Space-group type: F-43m (216)

***

12.
The following is a DFT calculation (PBE-GGA) of a relaxed structure of Zr2NiCl.

a = 4.7997 Å, b = 4.7997 Å, c = 3.0278 Å
α = 90.00°, β = 90.00°, γ = 95.46°
Atoms (fractional coordinates):
Zr: 0.5000 0.5000 0.0000
Zr: 0.0000 0.0000 0.0000
Ni: 0.0000 0.5000 0.5000
Cl: 0.5000 0.0000 0.5000

## Properties
Space-group type: Cmmm (65)
E above lowest polymorph (eV per atom): 0.2618

***

no.,magnetic moment (μB/cell),ΔE_f (raw) (eV per atom)
1,0.2,0.137
2,3.7,0.896
3,0.0,-0.030
4,1.9,-0.837
5,0.0,-0.067
6,0.0,0.332
7,0.5,0.388
8,0.0,-0.306
9,0.0,-0.216
10,0.0,-0.420
11,0.0,-0.073
12,0.0,-0.275